RuNF3: relaxed, GGA-PBE.

Unit cell a=4.0040 b=4.0040 c=4.0040 alpha=90.00 beta=90.00 gamma=90.00
Atoms (fractional coordinates):
Ru 0.0000 0.0000 0.0000
N 0.5000 0.5000 0.5000
F 0.0000 0.5000 0.0000
F 0.0000 0.0000 0.5000
F 0.5000 0.0000 0.0000

Output
relative energy among the computed polymorphs = 7.28 eV/f.u.
calculated total energy = -21.064 eV per cell
raw formation energy = 2.152 eV/f.u.
space-group type = Pm-3m

RuNF2: relaxed, GGA-PBE.

Unit cell a=7.5339 b=7.5339 c=5.6325 alpha=48.03 beta=48.03 gamma=90.00
Atoms (fractional coordinates):
Ru 0.0000 0.0000 0.0000
Ru 0.7500 0.2500 0.5000
N 0.5000 0.5000 0.0000
N 0.2500 0.7500 0.5000
F 0.7688 0.1250 0.2500
F 0.9812 0.6250 0.2500
F 0.3750 0.2312 0.7500
F 0.8750 0.0188 0.7500

Output
relative energy among the computed polymorphs = 0.00 eV/f.u.
calculated total energy = -47.003 eV per cell
raw formation energy = -2.158 eV/f.u.
space-group type = I-42d

RuNF: relaxed, GGA-PBE.

Unit cell a=3.3979 b=3.3980 c=5.3148 alpha=90.00 beta=90.00 gamma=90.00
Atoms (fractional coordinates):
Ru 0.5000 0.0000 0.7116
Ru 0.0000 0.5000 0.2884
N 0.0000 0.0000 0.5000
N 0.5000 0.5000 0.5000
F 0.5000 0.5000 0.9999
F 0.0000 0.0000 0.0001

Output
calculated total energy = -40.893 eV per cell
raw formation energy = -0.974 eV/f.u.
space-group type = P4/nmm

RuNF2: relaxed, GGA-PBE.

Unit cell a=3.9555 b=3.9555 c=3.9555 alpha=60.00 beta=60.00 gamma=60.00
Each line ends with the local moment (μB).
Atoms (fractional coordinates):
Ru 0.5000 0.5000 0.5000  3.02
N 0.0000 0.0000 0.0000  -1.49
F 0.2500 0.2500 0.2500  0.02
F 0.7500 0.7500 0.7500  0.02

Output
relative energy among the computed polymorphs = 5.23 eV/f.u.
calculated total energy = -18.269 eV per cell
raw formation energy = 3.075 eV/f.u.
space-group type = Fm-3m

Ru3NF: relaxed, GGA-PBE.

Unit cell a=4.0270 b=4.0270 c=4.0270 alpha=90.00 beta=90.00 gamma=90.00
Each line ends with the local moment (μB).
Atoms (fractional coordinates):
Ru 0.0000 0.5000 0.0000  0.97
Ru 0.0000 0.0000 0.5000  0.98
Ru 0.5000 0.0000 0.0000  0.70
N 0.0000 0.0000 0.0000  -0.04
F 0.5000 0.5000 0.5000  0.16

Output
relative energy among the computed polymorphs = 0.00 eV/f.u.
calculated total energy = -35.343 eV per cell
raw formation energy = 2.681 eV/f.u.
space-group type = Pm-3m

RuN2F: relaxed, GGA-PBE.

Unit cell a=5.7552 b=5.7552 c=5.7552 alpha=31.32 beta=31.32 gamma=31.32
Atoms (fractional coordinates):
Ru 0.5000 0.5000 0.5000
N 0.8906 0.8906 0.8906
N 0.1094 0.1094 0.1094
F 0.0000 0.0000 0.0000

Output
relative energy among the computed polymorphs = 0.45 eV/f.u.
calculated total energy = -25.104 eV per cell
raw formation energy = 2.694 eV/f.u.
space-group type = R-3m

RuN2F: relaxed, GGA-PBE.

Unit cell a=3.6749 b=3.6749 c=3.6749 alpha=60.00 beta=60.00 gamma=60.00
Each line ends with the local moment (μB).
Atoms (fractional coordinates):
Ru 0.5000 0.5000 0.5000  1.40
N 0.2500 0.2500 0.2500  -0.16
N 0.7500 0.7500 0.7500  -0.16
F 0.0000 0.0000 0.0000  0.13

Output
relative energy among the computed polymorphs = 3.63 eV/f.u.
calculated total energy = -21.929 eV per cell
raw formation energy = 5.869 eV/f.u.
space-group type = Fm-3m

RuN2F: relaxed, GGA-PBE.

Unit cell a=5.2846 b=5.2846 c=5.5580 alpha=61.61 beta=61.61 gamma=90.00
Atoms (fractional coordinates):
Ru 0.0000 0.0000 0.0000
Ru 0.7500 0.2500 0.5000
N 0.7415 0.1250 0.2500
N 0.0085 0.6250 0.2500
N 0.3750 0.2585 0.7500
N 0.8750 0.9915 0.7500
F 0.5000 0.5000 0.0000
F 0.2500 0.7500 0.5000

Output
relative energy among the computed polymorphs = 0.00 eV/f.u.
calculated total energy = -51.117 eV per cell
raw formation energy = 2.239 eV/f.u.
space-group type = I-42d

ScRuNF2: relaxed, GGA-PBE.

Unit cell a=3.9120 b=3.9120 c=4.5367 alpha=90.00 beta=90.00 gamma=90.00
Each line ends with the local moment (μB).
Atoms (fractional coordinates):
Sc 0.0000 0.0000 0.0000  0.01
Ru 0.5000 0.5000 0.5000  2.72
N 0.0000 0.0000 0.5000  0.15
F 0.0000 0.5000 0.0000  0.03
F 0.5000 0.0000 0.0000  0.03

Output
relative energy among the computed polymorphs = 0.00 eV/f.u.
calculated total energy = -32.723 eV per cell
raw formation energy = -5.048 eV/f.u.
space-group type = P4/mmm

ScRuNF2: relaxed, GGA-PBE.

Unit cell a=4.3108 b=4.3108 c=3.7373 alpha=90.00 beta=90.00 gamma=90.00
Each line ends with the local moment (μB).
Atoms (fractional coordinates):
Sc 0.5000 0.5000 0.5000  0.66
Ru 0.0000 0.0000 0.0000  0.09
N 0.0000 0.0000 0.5000  -0.02
F 0.0000 0.5000 0.0000  0.01
F 0.5000 0.0000 0.0000  0.01

Output
relative energy among the computed polymorphs = 1.17 eV/f.u.
calculated total energy = -31.554 eV per cell
raw formation energy = -3.879 eV/f.u.
space-group type = P4/mmm

RuSeN2F: relaxed, GGA-PBE.

Unit cell a=3.9124 b=3.9124 c=4.0603 alpha=90.00 beta=90.00 gamma=90.00
Atoms (fractional coordinates):
Ru 0.0000 0.0000 0.0000
N 0.0000 0.5000 0.0000
N 0.5000 0.0000 0.0000
Se 0.5000 0.5000 0.5000
F 0.0000 0.0000 0.5000

Output
relative energy among the computed polymorphs = 0.44 eV/f.u.
calculated total energy = -27.689 eV per cell
raw formation energy = 3.593 eV/f.u.
space-group type = P4/mmm

RuSeN2F: relaxed, GGA-PBE.

Unit cell a=3.9109 b=3.9109 c=4.1373 alpha=90.00 beta=90.00 gamma=90.00
Each line ends with the local moment (μB).
Atoms (fractional coordinates):
Ru 0.5000 0.5000 0.5000  3.02
N 0.0000 0.5000 0.0000  0.14
N 0.5000 0.0000 0.0000  0.14
Se 0.0000 0.0000 0.0000  0.01
F 0.0000 0.0000 0.5000  0.06

Output
relative energy among the computed polymorphs = 4.47 eV/f.u.
calculated total energy = -23.659 eV per cell
raw formation energy = 7.623 eV/f.u.
space-group type = P4/mmm

RuSeNF2: relaxed, GGA-PBE.

Unit cell a=4.2712 b=4.2712 c=3.7767 alpha=90.00 beta=90.00 gamma=90.00
Each line ends with the local moment (μB).
Atoms (fractional coordinates):
Ru 0.0000 0.0000 0.0000  -0.12
N 0.0000 0.0000 0.5000  -0.13
Se 0.5000 0.5000 0.5000  1.12
F 0.0000 0.5000 0.0000  0.09
F 0.5000 0.0000 0.0000  0.09

Output
relative energy among the computed polymorphs = 0.00 eV/f.u.
calculated total energy = -24.760 eV per cell
raw formation energy = 0.069 eV/f.u.
space-group type = P4/mmm

RuSeN2F: relaxed, GGA-PBE.

Unit cell a=3.7206 b=3.7206 c=5.3368 alpha=90.00 beta=90.00 gamma=90.00
Atoms (fractional coordinates):
Ru 0.0000 0.0000 0.0000
N 0.0000 0.5000 0.0000
N 0.5000 0.0000 0.0000
Se 0.0000 0.0000 0.5000
F 0.5000 0.5000 0.5000

Output
relative energy among the computed polymorphs = 0.00 eV/f.u.
calculated total energy = -28.127 eV per cell
raw formation energy = 3.155 eV/f.u.
space-group type = P4/mmm

RuSeN2F: relaxed, GGA-PBE.

Unit cell a=3.8835 b=3.8835 c=4.0211 alpha=90.00 beta=90.00 gamma=90.00
Each line ends with the local moment (μB).
Atoms (fractional coordinates):
Ru 0.5000 0.5000 0.5000  -0.21
N 0.0000 0.5000 0.0000  0.28
N 0.5000 0.0000 0.0000  0.28
Se 0.0000 0.0000 0.5000  -0.01
F 0.0000 0.0000 0.0000  0.03

Output
relative energy among the computed polymorphs = 7.98 eV/f.u.
calculated total energy = -20.143 eV per cell
raw formation energy = 11.140 eV/f.u.
space-group type = P4/mmm

RuSeNF2: relaxed, GGA-PBE.

Unit cell a=4.5279 b=4.5279 c=3.6867 alpha=90.00 beta=90.00 gamma=90.00
Each line ends with the local moment (μB).
Atoms (fractional coordinates):
Ru 0.5000 0.5000 0.5000  2.85
N 0.0000 0.0000 0.5000  0.04
Se 0.0000 0.0000 0.0000  -0.01
F 0.0000 0.5000 0.0000  0.02
F 0.5000 0.0000 0.0000  0.02

Output
relative energy among the computed polymorphs = 3.31 eV/f.u.
calculated total energy = -21.452 eV per cell
raw formation energy = 3.377 eV/f.u.
space-group type = P4/mmm

SiRuN2F: relaxed, GGA-PBE.

Unit cell a=3.8583 b=3.8583 c=4.1778 alpha=90.00 beta=90.00 gamma=90.00
Atoms (fractional coordinates):
Ru 0.0000 0.0000 0.0000
Si 0.5000 0.5000 0.5000
N 0.0000 0.5000 0.0000
N 0.5000 0.0000 0.0000
F 0.0000 0.0000 0.5000

Output
relative energy among the computed polymorphs = 2.17 eV/f.u.
calculated total energy = -30.198 eV per cell
raw formation energy = 3.023 eV/f.u.
space-group type = P4/mmm

SiRuN2F: relaxed, GGA-PBE.

Unit cell a=3.7058 b=3.7058 c=3.4276 alpha=90.00 beta=90.00 gamma=90.00
Each line ends with the local moment (μB).
Atoms (fractional coordinates):
Ru 0.5000 0.5000 0.5000  1.58
Si 0.0000 0.0000 0.0000  0.00
N 0.0000 0.5000 0.0000  0.01
N 0.5000 0.0000 0.0000  0.01
F 0.0000 0.0000 0.5000  0.03

Output
relative energy among the computed polymorphs = 0.00 eV/f.u.
calculated total energy = -32.370 eV per cell
raw formation energy = 0.851 eV/f.u.
space-group type = P4/mmm

SnRuN2F: relaxed, GGA-PBE.

Unit cell a=4.1771 b=4.1771 c=4.0287 alpha=90.00 beta=90.00 gamma=90.00
Each line ends with the local moment (μB).
Atoms (fractional coordinates):
Ru 0.5000 0.5000 0.5000  2.76
N 0.0000 0.5000 0.0000  0.00
N 0.5000 0.0000 0.0000  0.00
Sn 0.0000 0.0000 0.0000  0.00
F 0.0000 0.0000 0.5000  0.03

Output
relative energy among the computed polymorphs = 3.96 eV/f.u.
calculated total energy = -26.853 eV per cell
raw formation energy = 4.947 eV/f.u.
space-group type = P4/mmm

SnRuN2F: relaxed, GGA-PBE.

Unit cell a=3.9322 b=3.9322 c=4.5326 alpha=90.00 beta=90.00 gamma=90.00
Each line ends with the local moment (μB).
Atoms (fractional coordinates):
Ru 0.0000 0.0000 0.0000  -0.02
N 0.0000 0.5000 0.0000  0.11
N 0.5000 0.0000 0.0000  0.11
Sn 0.5000 0.5000 0.5000  0.00
F 0.0000 0.0000 0.5000  0.00

Output
relative energy among the computed polymorphs = 0.00 eV/f.u.
calculated total energy = -30.809 eV per cell
raw formation energy = 0.992 eV/f.u.
space-group type = P4/mmm